This record from Alexandria describes a relaxed structure of AcIn3Ag2. The functional is PBE.

abc: 9.499 9.499 11.143
angles: 105.75 105.75 28.67
Fractional positions:
Ac (0.000, 0.000, 0.000)
Ac (0.159, 0.159, 0.706)
Ac (0.841, 0.841, 0.294)
In (0.042, 0.042, 0.353)
In (0.211, 0.211, 0.372)
In (0.335, 0.335, 0.046)
In (0.374, 0.374, 0.806)
In (0.500, 0.500, 0.500)
In (0.626, 0.626, 0.194)
In (0.665, 0.665, 0.954)
In (0.789, 0.789, 0.628)
In (0.958, 0.958, 0.647)
Ag (0.198, 0.198, 0.109)
Ag (0.354, 0.354, 0.536)
Ag (0.475, 0.475, 0.221)
Ag (0.525, 0.525, 0.779)
Ag (0.646, 0.646, 0.464)
Ag (0.802, 0.802, 0.891)

Summary:
Space-group type ... C2/m
ΔE to the lowest computed polymorph ... 0.000 eV/atom
Formation enthalpy at 0 K ... -0.28 eV per atom
Calculated volume ... 25.730 Å³/atom
DOS(E_F) ... 0.412 states/eV per atom
Total magnetic moment ... 0.000 μB per atom



This record from Alexandria describes a relaxed structure of Ac3In2Ag3. The functional is PBE.

abc: 6.558 6.558 15.793
angles: 90.00 90.00 135.87
Fractional positions:
Ac (0.088, 0.912, 0.608)
Ac (0.088, 0.912, 0.892)
Ac (0.379, 0.621, 0.750)
Ac (0.621, 0.379, 0.250)
Ac (0.912, 0.088, 0.108)
Ac (0.912, 0.088, 0.392)
In (0.207, 0.793, 0.095)
In (0.207, 0.793, 0.405)
In (0.793, 0.207, 0.595)
In (0.793, 0.207, 0.905)
Ag (0.338, 0.662, 0.250)
Ag (0.392, 0.608, 0.539)
Ag (0.392, 0.608, 0.961)
Ag (0.608, 0.392, 0.039)
Ag (0.608, 0.392, 0.461)
Ag (0.662, 0.338, 0.750)

Summary:
Space-group type ... Cmcm
ΔE to the lowest computed polymorph ... 0.000 eV/atom
Formation enthalpy at 0 K ... -0.34 eV per atom
Calculated volume ... 29.557 Å³/atom
DOS(E_F) ... 0.904 states/eV per atom
Total magnetic moment ... 0.000 μB per atom



This record from Alexandria describes a relaxed structure of AcIn3Ag3. The functional is PBE.

abc: 7.517 7.517 7.517
angles: 71.64 71.64 71.64
Fractional positions:
Ac (0.170, 0.170, 0.170)
Ac (0.830, 0.830, 0.830)
In (0.052, 0.365, 0.705)
In (0.295, 0.948, 0.635)
In (0.365, 0.705, 0.052)
In (0.635, 0.295, 0.948)
In (0.705, 0.052, 0.365)
In (0.948, 0.635, 0.295)
Ag (0.182, 0.720, 0.455)
Ag (0.280, 0.545, 0.818)
Ag (0.455, 0.182, 0.720)
Ag (0.545, 0.818, 0.280)
Ag (0.720, 0.455, 0.182)
Ag (0.818, 0.280, 0.545)

Summary:
Space-group type ... R-3
ΔE to the lowest computed polymorph ... 0.000 eV/atom
Formation enthalpy at 0 K ... -0.15 eV per atom
Calculated volume ... 26.529 Å³/atom
DOS(E_F) ... 0.212 states/eV per atom
Total magnetic moment ... 0.000 μB per atom



This record from Alexandria describes a relaxed structure of Ac4In3Ag. The functional is PBE.

abc: 4.760 4.871 12.141
angles: 90.00 90.00 90.00
Fractional positions:
Ac (0.000, 0.000, 0.000)
Ac (0.000, 0.500, 0.484)
Ac (0.500, 0.000, 0.706)
Ac (0.500, 0.500, 0.211)
In (0.000, 0.500, 0.774)
In (0.500, 0.000, 0.421)
In (0.500, 0.500, 0.927)
Ag (0.000, 0.000, 0.278)

Summary:
Space-group type ... Pmm2
ΔE to the lowest computed polymorph ... 0.020 eV/atom
Formation enthalpy at 0 K ... -0.36 eV per atom
Calculated volume ... 35.188 Å³/atom
DOS(E_F) ... 1.147 states/eV per atom
Total magnetic moment ... 0.000 μB per atom



This record from Alexandria describes a relaxed structure of Ac2InAg. The functional is PBE.

abc: 3.989 3.989 8.260
angles: 90.00 90.00 90.00
Fractional positions:
Ac (0.000, 0.000, 0.242)
Ac (0.000, 0.000, 0.758)
In (0.500, 0.500, 0.500)
Ag (0.500, 0.500, 0.000)

Summary:
Space-group type ... P4/mmm
Formation enthalpy at 0 K ... -0.34 eV per atom
Calculated volume ... 32.851 Å³/atom
DOS(E_F) ... 1.147 states/eV per atom
Total magnetic moment ... 0.000 μB per atom



This record from Alexandria describes a relaxed structure of Ac3In7Ag2. The functional is PBE.

abc: 10.326 10.326 10.326
angles: 35.31 35.31 35.31
Fractional positions:
Ac (0.000, 0.000, 0.000)
Ac (0.141, 0.141, 0.141)
Ac (0.859, 0.859, 0.859)
In (0.070, 0.584, 0.584)
In (0.416, 0.416, 0.930)
In (0.416, 0.930, 0.416)
In (0.500, 0.500, 0.500)
In (0.584, 0.070, 0.584)
In (0.584, 0.584, 0.070)
In (0.930, 0.416, 0.416)
Ag (0.336, 0.336, 0.336)
Ag (0.664, 0.664, 0.664)

Summary:
Space-group type ... R-3m
Formation enthalpy at 0 K ... -0.36 eV per atom
Calculated volume ... 27.382 Å³/atom
DOS(E_F) ... 0.569 states/eV per atom
Total magnetic moment ... 0.000 μB per atom



This record from Alexandria describes a relaxed structure of Ac4InAg. The functional is PBE.

abc: 9.055 9.055 6.475
angles: 101.92 101.92 115.02
Fractional positions:
Ac (0.074, 0.696, 0.930)
Ac (0.216, 0.375, 0.657)
Ac (0.304, 0.926, 0.570)
Ac (0.375, 0.216, 0.157)
Ac (0.625, 0.784, 0.843)
Ac (0.696, 0.074, 0.430)
Ac (0.784, 0.625, 0.343)
Ac (0.926, 0.304, 0.070)
In (0.383, 0.617, 0.250)
In (0.617, 0.383, 0.750)
Ag (0.003, 0.997, 0.250)
Ag (0.997, 0.003, 0.750)

Summary:
Space-group type ... C2/c
ΔE to the lowest computed polymorph ... 0.008 eV/atom
Formation enthalpy at 0 K ... -0.17 eV per atom
Calculated volume ... 37.007 Å³/atom
DOS(E_F) ... 1.206 states/eV per atom
Total magnetic moment ... 0.000 μB per atom



This record from Alexandria describes a relaxed structure of AcIn2Ag4. The functional is PBE.

abc: 8.323 8.323 6.068
angles: 90.00 90.00 90.00
Fractional positions:
Ac (0.000, 0.000, 0.000)
Ac (0.500, 0.500, 0.500)
In (0.000, 0.500, 0.250)
In (0.000, 0.500, 0.750)
In (0.500, 0.000, 0.250)
In (0.500, 0.000, 0.750)
Ag (0.000, 0.227, 0.500)
Ag (0.000, 0.773, 0.500)
Ag (0.227, 0.000, 0.500)
Ag (0.273, 0.500, 0.000)
Ag (0.500, 0.273, 0.000)
Ag (0.500, 0.727, 0.000)
Ag (0.727, 0.500, 0.000)
Ag (0.773, 0.000, 0.500)

Summary:
Space-group type ... I4/mmm
ΔE to the lowest computed polymorph ... 0.372 eV/atom
Formation enthalpy at 0 K ... 0.16 eV per atom
Calculated volume ... 30.028 Å³/atom
DOS(E_F) ... 0.501 states/eV per atom
Total magnetic moment ... 0.000 μB per atom



- What is the formation enthalpy at 0 K in the third record?
  -0.15 eV per atom